[1]
The following is a DFT calculation (PBE) of an optimized crystal structure of TmInPb2.

Lattice parameters (Å, degrees): 3.4610 3.4610 12.1283 81.80 81.80 60.00
Atoms (fractional coordinates):
Pb 0.0881 0.0881 0.7358
Pb 0.9119 0.9119 0.2642
Tm 0.0000 0.0000 0.0000
In 0.5000 0.5000 0.5000

## Properties
E_tot = -14.155 eV for the cell shown

=====

[2]
The following is a DFT calculation (PBE) of an optimized crystal structure of Tm6In3Pb.

Lattice parameters (Å, degrees): 5.0594 9.7863 11.1993 102.26 90.00 90.00
Atoms (fractional coordinates):
Tm 0.2500 0.4407 0.0888
Tm 0.7500 0.5593 0.9112
Tm 0.2500 0.1334 0.1934
Tm 0.7500 0.8666 0.8066
Tm 0.2500 0.6461 0.6829
Tm 0.7500 0.3539 0.3171
Tm 0.2500 0.2505 0.5094
Tm 0.7500 0.7495 0.4906
Tm 0.2500 0.8281 0.2982
Tm 0.7500 0.1719 0.7018
Tm 0.2500 0.0984 0.8910
Tm 0.7500 0.9016 0.1090
In 0.2500 0.5351 0.3892
In 0.7500 0.4649 0.6108
In 0.2500 0.3779 0.7956
In 0.7500 0.6221 0.2044
In 0.2500 0.7808 0.9699
In 0.7500 0.2192 0.0301
Pb 0.2500 0.9431 0.6151
Pb 0.7500 0.0569 0.3849

## Properties
Offset from the most stable computed form = 0.000 eV/atom
E_tot = -84.401 eV for the cell shown

=====

[3]
The following is a DFT calculation (PBE) of an optimized crystal structure of Tm12In5Pb2.

Lattice parameters (Å, degrees): 6.9416 9.0797 10.1054 96.46 90.00 112.47
Atoms (fractional coordinates):
Tm 0.8947 0.7894 0.1864
Tm 0.0701 0.6401 0.8953
Tm 0.5700 0.6401 0.8953
Tm 0.1120 0.7039 0.4464
Tm 0.5918 0.7039 0.4464
Tm 0.4841 0.9681 0.6889
Tm 0.5159 0.0319 0.3111
Tm 0.8880 0.2961 0.5536
Tm 0.4082 0.2961 0.5536
Tm 0.9299 0.3599 0.1047
Tm 0.4300 0.3599 0.1047
Tm 0.1053 0.2106 0.8136
In 0.2879 0.5758 0.6583
In 0.3387 0.6774 0.1738
In 0.0000 0.0000 0.5000
In 0.6613 0.3226 0.8262
In 0.7121 0.4242 0.3417
Pb 0.7386 0.0000 0.0000
Pb 0.2614 0.0000 0.0000

## Properties
E_tot = -76.778 eV for the cell shown

=====

[4]
The following is a DFT calculation (PBE) of an optimized crystal structure of TmIn2Pb2.

Lattice parameters (Å, degrees): 4.5252 4.6491 13.2606 90.00 99.82 90.00
Atoms (fractional coordinates):
Tm 0.3543 0.2500 0.7087
Tm 0.6457 0.7500 0.2913
In 0.0467 0.7500 0.0935
In 0.4502 0.7500 0.9004
In 0.9533 0.2500 0.9065
In 0.5498 0.2500 0.0996
Pb 0.7515 0.2500 0.5030
Pb 0.2485 0.7500 0.4970
Pb 0.8547 0.7500 0.7095
Pb 0.1453 0.2500 0.2905

## Properties
E_tot = -36.353 eV for the cell shown

=====

| no. | total magnetization (μB/f.u.) | DOS at the Fermi energy (states/eV/cell) |
| --- | --- | --- |
| 1 | 0.000 | 3.25 |
| 2 | 0.001 | 19.46 |
| 3 | 0.006 | 18.92 |
| 4 | 0.000 | 6.43 |